No. 1
Here is a relaxed structure of BaLaTe2 from Alexandria via LeMat-Bulk. Energies are from GGA-PBEsol.

abc: 4.665 4.665 10.401
angles: 77.04 77.04 60.00
Each line ends with the local moment (μB).
Positions (direct):
Te: 0.890 0.890 0.329  0.00
Te: 0.110 0.110 0.671  0.00
Ba: 0.000 0.000 0.000  -0.10
La: 0.500 0.500 0.500  0.00

Results
The crystal system is trigonal. As for the space group: R-3m.



No. 2
Here is a relaxed structure of BaLaTe2 from Alexandria via LeMat-Bulk. Energies are from GGA-PBEsol.

abc: 4.695 4.695 6.628
angles: 90.00 90.00 90.00
Positions (direct):
Te: 0.000 0.000 0.500
Te: 0.500 0.500 0.000
Ba: 0.000 0.000 0.000
La: 0.500 0.500 0.500

Results
The crystal system is tetragonal. As for the space group: P4/mmm.



No. 3
Here is a relaxed structure of BaLaTe2 from Alexandria via LeMat-Bulk. Energies are from GGA-PBEsol.

abc: 4.654 4.654 8.253
angles: 73.62 73.62 60.00
Positions (direct):
Te: 0.243 0.243 0.271
Te: 0.757 0.757 0.729
Ba: 0.000 0.000 0.000
La: 0.500 0.500 0.500

Results
The crystal system is trigonal. As for the space group: R-3m.



Number 1: formation energy without anion corrections -4.74 eV per formula unit. Number 2: formation energy without anion corrections -6.41 eV per formula unit. Number 3: formation energy without anion corrections -6.62 eV per formula unit.